Compound: CsTl8In2
Source: Alexandria
Functional: PBE
Structure: relaxed

abc: 5.680 5.680 12.582
angles: 90.00 90.00 90.01
Sites, in units of the cell vectors:
Cs: 0.000 0.000 0.000
Tl: 0.000 0.500 0.500
Tl: 0.500 0.000 0.223
Tl: 0.500 0.000 0.500
In: 0.000 0.000 0.362
Tl: 0.500 0.500 0.359
Tl: 0.500 0.500 0.641
Tl: 0.000 0.500 0.777
In: 0.000 0.000 0.638
Tl: 0.500 0.000 0.777
Tl: 0.000 0.500 0.223

- relative energy among the computed polymorphs (meV/atom) = 0

Compound: Cs2Tl5In3
Source: Alexandria
Functional: PBE
Structure: relaxed

abc: 7.503 10.625 10.625
angles: 74.81 69.32 69.32
Sites, in units of the cell vectors:
Cs: 0.873 0.379 0.875
Tl: 0.750 0.500 0.500
In: 0.250 0.000 0.000
In: 0.875 0.752 0.499
Tl: 0.250 0.500 0.500
Tl: 0.382 0.254 0.982
In: 0.750 0.000 0.000
In: 0.375 0.499 0.752
Tl: 0.003 0.247 0.247
Cs: 0.627 0.125 0.621
Tl: 0.118 0.018 0.746
Cs: 0.127 0.621 0.125
Cs: 0.373 0.875 0.379
Tl: 0.882 0.982 0.254
Tl: 0.497 0.753 0.753
Tl: 0.503 0.247 0.247
Tl: 0.997 0.753 0.753
In: 0.125 0.248 0.501
In: 0.625 0.501 0.248
Tl: 0.618 0.746 0.018

Compound: CsTlZnIn2
Source: Alexandria
Functional: PBE
Structure: relaxed

abc: 5.391 5.391 6.117
angles: 90.00 90.00 90.00
Sites, in units of the cell vectors:
Cs: 0.500 0.500 0.500
Zn: 0.000 0.000 0.000
In: 0.000 0.500 0.000
Tl: 0.000 0.000 0.500
In: 0.500 0.000 0.000

Compound: CsTl2ZnIn
Source: Alexandria
Functional: PBE
Structure: relaxed

abc: 6.092 6.092 5.365
angles: 90.00 90.00 90.00
Sites, in units of the cell vectors:
In: 0.000 0.000 0.000
Tl: 0.000 0.500 0.000
Tl: 0.500 0.000 0.000
Zn: 0.000 0.000 0.500
Cs: 0.500 0.500 0.500

- relative energy among the computed polymorphs (meV/atom) = 38

Compound: CsTl2ZnIn
Source: Alexandria
Functional: PBE
Structure: relaxed

abc: 5.874 5.874 5.289
angles: 90.00 90.00 90.00
Sites, in units of the cell vectors:
Tl: 0.000 0.500 0.000
Cs: 0.500 0.500 0.500
Zn: 0.000 0.000 0.000
In: 0.000 0.000 0.500
Tl: 0.500 0.000 0.000

- relative energy among the computed polymorphs (meV/atom) = 0

Compound: CsTmIn2
Source: Alexandria
Functional: PBE
Structure: relaxed

abc: 3.866 3.866 9.194
angles: 90.00 90.00 90.00
Sites, in units of the cell vectors:
In: 0.000 0.000 0.183
Cs: 0.500 0.500 0.500
Tm: 0.500 0.500 0.000
In: 0.000 0.000 0.817

Compound: Cs2VIn
Source: Alexandria
Functional: PBE
Structure: relaxed

abc: 13.865 13.865 10.176
angles: 47.06 47.06 90.00
Site moments in Bohr magnetons follow the coordinates.
Sites, in units of the cell vectors:
In: 0.750 0.250 0.500  -0.01
Cs: 0.875 0.683 0.750  0.02
V: 0.500 0.500 0.000  2.97
V: 0.250 0.750 0.500  2.97
Cs: 0.433 0.125 0.250  0.02
Cs: 0.375 0.567 0.750  0.02
In: 0.000 0.000 0.000  -0.01
Cs: 0.317 0.625 0.250  0.02

- relative energy among the computed polymorphs (meV/atom) = 0

Compound: Cs2VIn
Source: Alexandria
Functional: PBE
Structure: relaxed

abc: 6.372 6.372 6.372
angles: 60.00 60.00 60.00
Site moments in Bohr magnetons follow the coordinates.
Sites, in units of the cell vectors:
Cs: 0.750 0.750 0.750  0.02
V: 0.000 0.000 0.000  -0.67
Cs: 0.250 0.250 0.250  0.02
In: 0.500 0.500 0.500  0.12

- relative energy among the computed polymorphs (meV/atom) = 667

Compound: CsVIn3
Source: Alexandria
Functional: PBE
Structure: relaxed

abc: 5.420 5.420 5.420
angles: 90.00 90.00 90.00
Sites, in units of the cell vectors:
In: 0.500 0.000 0.000
V: 0.000 0.000 0.000
In: 0.000 0.500 0.000
Cs: 0.500 0.500 0.500
In: 0.000 0.000 0.500

- relative energy among the computed polymorphs (meV/atom) = 0

Compound: CsVIn3
Source: Alexandria
Functional: PBE
Structure: relaxed

abc: 6.297 6.297 6.297
angles: 90.00 90.00 90.00
Site moments in Bohr magnetons follow the coordinates.
Sites, in units of the cell vectors:
V: 0.500 0.500 0.500  3.23
In: 0.000 0.500 0.000  0.01
Cs: 0.000 0.000 0.000  0.00
In: 0.500 0.000 0.000  0.01
In: 0.000 0.000 0.500  0.01

- relative energy among the computed polymorphs (meV/atom) = 1421

Compound: CsIn3W
Source: Alexandria
Functional: PBE
Structure: relaxed

abc: 5.986 5.986 5.986
angles: 90.00 90.00 90.00
Sites, in units of the cell vectors:
In: 0.000 0.000 0.500
In: 0.500 0.000 0.000
Cs: 0.000 0.000 0.000
In: 0.000 0.500 0.000
W: 0.500 0.500 0.500

- relative energy among the computed polymorphs (meV/atom) = 2285

Compound: CsIn3W
Source: Alexandria
Functional: PBE
Structure: relaxed

abc: 5.452 5.452 5.452
angles: 90.00 90.00 90.00
Sites, in units of the cell vectors:
In: 0.500 0.000 0.000
Cs: 0.500 0.500 0.500
In: 0.000 0.500 0.000
In: 0.000 0.000 0.500
W: 0.000 0.000 0.000

- relative energy among the computed polymorphs (meV/atom) = 0

Compound: CsZrInW2
Source: Alexandria
Functional: PBE
Structure: relaxed

abc: 4.993 5.150 4.993
angles: 90.00 90.00 90.00
Sites, in units of the cell vectors:
In: 0.500 0.500 0.500
W: 0.000 0.000 0.500
Cs: 0.000 0.000 0.000
W: 0.500 0.000 0.000
Zr: 0.000 0.500 0.000

Compound: CsY3In
Source: Alexandria
Functional: PBE
Structure: relaxed

abc: 5.623 5.623 5.623
angles: 90.00 90.00 90.00
Sites, in units of the cell vectors:
Cs: 0.000 0.000 0.000
In: 0.500 0.500 0.500
Y: 0.000 0.000 0.500
Y: 0.500 0.000 0.000
Y: 0.000 0.500 0.000

- relative energy among the computed polymorphs (meV/atom) = 748

Compound: CsY2In2
Source: Alexandria
Functional: PBE
Structure: relaxed

abc: 10.009 10.009 3.393
angles: 90.00 90.00 90.00
Site moments in Bohr magnetons follow the coordinates.
Sites, in units of the cell vectors:
Y: 0.372 0.128 0.500  0.07
Y: 0.628 0.872 0.500  0.07
Y: 0.872 0.372 0.500  0.07
In: 0.835 0.665 0.000  0.00
Cs: 0.500 0.500 0.000  0.00
In: 0.165 0.335 0.000  0.00
Y: 0.128 0.628 0.500  0.07
In: 0.335 0.835 0.000  -0.01
Cs: 0.000 0.000 0.000  0.00
In: 0.665 0.165 0.000  -0.01

- relative energy among the computed polymorphs (meV/atom) = 25

Compound: CsY3In
Source: Alexandria
Functional: PBE
Structure: relaxed

abc: 5.960 5.960 5.960
angles: 90.00 90.00 90.00
Sites, in units of the cell vectors:
Y: 0.000 0.000 0.500
Y: 0.000 0.500 0.000
Cs: 0.500 0.500 0.500
In: 0.000 0.000 0.000
Y: 0.500 0.000 0.000

- relative energy among the computed polymorphs (meV/atom) = 0

Compound: CsY2In2
Source: Alexandria
Functional: PBE
Structure: relaxed

abc: 9.422 9.422 3.569
angles: 90.00 90.00 90.00
Sites, in units of the cell vectors:
Cs: 0.000 0.000 0.000
Y: 0.163 0.337 0.000
In: 0.628 0.872 0.500
In: 0.372 0.128 0.500
Y: 0.837 0.663 0.000
In: 0.128 0.628 0.500
In: 0.872 0.372 0.500
Cs: 0.500 0.500 0.000
Y: 0.337 0.837 0.000
Y: 0.663 0.163 0.000

- relative energy among the computed polymorphs (meV/atom) = 0

Compound: CsZn3In
Source: Alexandria
Functional: PBE
Structure: relaxed

abc: 6.464 6.464 6.464
angles: 90.00 90.00 90.00
Sites, in units of the cell vectors:
Zn: 0.000 0.500 0.000
Zn: 0.000 0.000 0.500
Zn: 0.500 0.000 0.000
Cs: 0.000 0.000 0.000
In: 0.500 0.500 0.500

- relative energy among the computed polymorphs (meV/atom) = 675

Compound: CsZn2In2
Source: Alexandria
Functional: PBE
Structure: relaxed

abc: 9.281 9.281 3.280
angles: 90.00 90.00 90.00
Sites, in units of the cell vectors:
In: 0.638 0.862 0.500
In: 0.138 0.638 0.500
Zn: 0.639 0.139 0.000
In: 0.862 0.362 0.500
Zn: 0.139 0.361 0.000
In: 0.362 0.138 0.500
Cs: 0.500 0.500 0.000
Zn: 0.861 0.639 0.000
Zn: 0.361 0.861 0.000
Cs: 0.000 0.000 0.000

- relative energy among the computed polymorphs (meV/atom) = 96

Compound: Cs2ZnIn2
Source: Alexandria
Functional: PBE
Structure: relaxed

abc: 11.266 11.266 4.034
angles: 90.00 90.00 90.00
Sites, in units of the cell vectors:
In: 0.089 0.411 0.000
Cs: 0.299 0.201 0.500
Zn: 0.000 0.000 0.000
Cs: 0.701 0.799 0.500
In: 0.911 0.589 0.000
In: 0.411 0.911 0.000
Cs: 0.799 0.299 0.500
In: 0.589 0.089 0.000
Cs: 0.201 0.701 0.500
Zn: 0.500 0.500 0.000

Compound: CsZn3In
Source: Alexandria
Functional: PBE
Structure: relaxed

abc: 5.504 5.504 5.504
angles: 90.00 90.00 90.00
Sites, in units of the cell vectors:
In: 0.000 0.000 0.000
Zn: 0.500 0.000 0.000
Zn: 0.000 0.500 0.000
Cs: 0.500 0.500 0.500
Zn: 0.000 0.000 0.500

- relative energy among the computed polymorphs (meV/atom) = 0

Compound: Cs2Zn2In
Source: Alexandria
Functional: PBE
Structure: relaxed

abc: 7.884 7.884 6.051
angles: 90.00 90.00 90.00
Site moments in Bohr magnetons follow the coordinates.
Sites, in units of the cell vectors:
Zn: 0.875 0.375 0.000  0.03
Zn: 0.125 0.625 0.000  0.03
Cs: 0.181 0.319 0.500  0.02
In: 0.500 0.500 0.000  0.14
Zn: 0.625 0.875 0.000  0.03
In: 0.000 0.000 0.000  0.14
Cs: 0.319 0.819 0.500  0.02
Cs: 0.681 0.181 0.500  0.02
Zn: 0.375 0.125 0.000  0.03
Cs: 0.819 0.681 0.500  0.02

Compound: CsZn2In2
Source: Alexandria
Functional: PBE
Structure: relaxed

abc: 5.043 5.043 6.914
angles: 68.61 68.61 90.00
Sites, in units of the cell vectors:
Zn: 0.750 0.250 0.500
In: 0.640 0.640 0.721
Zn: 0.250 0.750 0.500
Cs: 0.000 0.000 0.000
In: 0.360 0.360 0.279

- relative energy among the computed polymorphs (meV/atom) = 0

Compound: Cs4ZnIn4
Source: Alexandria
Functional: PBE
Structure: relaxed

abc: 7.954 9.814 7.954
angles: 66.09 90.00 113.91
Sites, in units of the cell vectors:
Cs: 0.183 0.737 0.447
In: 0.974 0.250 0.725
Zn: 0.000 0.000 0.000
In: 0.275 0.250 0.026
Cs: 0.817 0.263 0.183
In: 0.026 0.750 0.974
In: 0.725 0.750 0.275
Cs: 0.553 0.737 0.817
Cs: 0.447 0.263 0.553

Compound: CsZnIn2
Source: Alexandria
Functional: PBE
Structure: relaxed

abc: 4.747 4.747 7.943
angles: 72.61 72.61 60.00
Sites, in units of the cell vectors:
In: 0.296 0.296 0.112
In: 0.704 0.704 0.888
Cs: 0.500 0.500 0.500
Zn: 0.000 0.000 0.000

Compound: Cs3ZnIn
Source: Alexandria
Functional: PBE
Structure: relaxed

abc: 7.533 7.533 7.533
angles: 90.00 90.00 90.00
Sites, in units of the cell vectors:
Cs: 0.000 0.500 0.000
Cs: 0.000 0.000 0.500
Zn: 0.500 0.500 0.500
Cs: 0.500 0.000 0.000
In: 0.000 0.000 0.000

- relative energy among the computed polymorphs (meV/atom) = 0

Record-wise formation energy values, in eV/atom: 0.0092 -0.0804 0.1266 0.1496 0.1114 -0.1832 0.7266 1.3932 0.2551 1.6764 2.6331 0.3477 3.0200 1.1831 -0.0767 0.4355 -0.1021 0.9025 0.1346 0.2402 0.2275 0.1683 0.0390 0.1060 -0.0335 0.2674
Record-wise M_tot values, in μB/f.u.: 0.00 0.00 0.00 0.00 0.00 0.00 3.74 0.13 0.00 4.28 0.00 0.00 0.00 0.00 0.23 0.00 0.00 0.00 0.00 0.01 0.00 0.85 0.00 0.00 0.00 0.00